Tb6Y5Sc: optimized geometry, PBE-GGA.

Results
Total magnetic moment in μB/f.u.: 0.00
ΔH_f (0 K) in eV/atom: 0.031

a b c (Å): 5.0018 10.0070 15.0453
angles (deg): 90.00 90.00 90.00
Closest atoms and distances in Å follow each position.
Space group Immm (No. 71)
One atom of each set of equivalent atoms:
Tb  0.0000  0.2453  0.0000 x4  6 Y 3.49-3.57, 2 Sc 3.50, 4 Tb 3.53
Tb  0.0000  0.2525  0.3345 x8  1 Sc 3.51, 7 Y 3.52-3.59, 4 Tb 3.53-3.57
Y  0.0000  0.0000  0.1648 x4  8 Tb 3.49-3.59, 2 Sc 3.52, 2 Y 3.57
Y  0.0000  0.0000  0.5000 x2  4 Y 3.53, 8 Tb 3.55-3.57
Y  0.0000  0.5000  0.1658 x4  4 Y 3.53-3.57, 8 Tb 3.55-3.57
Sc  0.0000  0.5000  0.5000 x2  8 Tb 3.50-3.51, 4 Y 3.52

=====

Y6In3Ru: optimized geometry, PBE-GGA.

Results
Total magnetic moment in μB/f.u.: 0.00
ΔH_f (0 K) in eV/atom: -0.385
E above lowest polymorph in eV per formula unit: 0.00

a b c (Å): 9.2501 5.2939 11.3940
angles (deg): 90.00 107.90 90.00
Closest atoms and distances in Å follow each position.
Space group P2_1/m (No. 11)
One atom of each set of equivalent atoms:
Y  0.0413  0.2500  0.4151 x2  6 In 3.12-3.36, 1 Y 3.43
Y  0.1906  0.7500  0.1666 x2  1 Ru 2.87, 3 In 3.18-3.19
Y  0.2820  0.2500  0.0032 x2  3 Ru 2.91-3.13, 1 In 3.17
Y  0.3504  0.7500  0.8296 x2  3 Ru 2.87-3.14
Y  0.3747  0.2500  0.3431 x2  3 In 3.26-3.32, 6 Y 3.39-3.44
Y  0.3929  0.2500  0.6479 x2  1 Ru 2.83, 1 In 3.11
In  0.0113  0.7500  0.8797 x2  6 Y 3.18-3.37, 2 In 3.44
In  0.0939  0.2500  0.7186 x2  6 Y 3.11-3.34, 3 In 3.44-3.46
In  0.2755  0.7500  0.4762 x2  9 Y 3.26-3.52, 1 In 3.46
Ru  0.4613  0.7500  0.0940 x2  8 Y 2.83-3.14

=====

KH3Au: optimized geometry, PBE-GGA.

Results
Total magnetic moment in μB/f.u.: 0.00
E above lowest polymorph in eV per formula unit: 0.30

a b c (Å): 5.9879 6.7981 3.7624
angles (deg): 90.00 90.00 90.00
Closest atoms and distances in Å follow each position.
Space group Cmmm (No. 65)
One atom of each set of equivalent atoms:
K  0.0000  0.0000  0.0000 x2  4 H 2.57
H  0.0000  0.2569  0.5000 x4  1 Au 1.65
H  0.0000  0.5000  0.0000 x2  2 Au 1.88
Au  0.0000  0.5000  0.5000 x2  2 H 1.65

=====

SrIrRu2: optimized geometry, PBE-GGA.

Results
Total magnetic moment in μB/f.u.: 0.00
ΔH_f (0 K) in eV/atom: 0.398
E above lowest polymorph in eV per formula unit: 0.00

a b c (Å): 2.9106 2.9106 8.3336
angles (deg): 90.00 90.00 90.00
Closest atoms and distances in Å follow each position.
Space group P4mm (No. 99)
One atom of each set of equivalent atoms:
Sr  0.0000  0.0000  0.0000 x1  4 Sr 2.91, 4 Ir 3.20, 4 Ru 3.25
Ir  0.5000  0.5000  0.2945 x1  4 Ru 2.69, 4 Ir 2.91
Ru  0.0000  0.0000  0.5030 x1  8 Ru 2.62-2.91, 4 Ir 2.69
Ru  0.5000  0.5000  0.6981 x1  8 Ru 2.62-2.91

=====

TaRuPb2: optimized geometry, PBE-GGA.

Results
Total magnetic moment in μB/f.u.: 0.00
ΔH_f (0 K) in eV/atom: 0.650
E above lowest polymorph in eV per formula unit: 2.22

a b c (Å): 4.9090 4.9090 3.3276
angles (deg): 90.00 90.00 90.00
Closest atoms and distances in Å follow each position.
Space group P4/mmm (No. 123)
One atom of each set of equivalent atoms:
Ta  0.0000  0.0000  0.0000 x1  8 Pb 2.97
Ru  0.5000  0.5000  0.0000 x1  8 Pb 2.97
Pb  0.0000  0.5000  0.5000 x2  4 Ta 2.97, 4 Ru 2.97

=====

PuTa2Cu: optimized geometry, PBE-GGA.

Results
Total magnetic moment in μB/f.u.: 5.22
ΔH_f (0 K) in eV/atom: 0.538

a b c (Å): 2.8797 2.8797 31.2810
angles (deg): 90.00 90.00 120.00
Closest atoms and distances in Å follow each position.
Space group R-3m (No. 166, hexagonal axes)
One atom of each set of equivalent atoms:
Pu  0.0000  0.0000  0.0000 x3  6 Pu 2.88, 2 Ta 2.97
Ta  0.0000  0.0000  0.0951 x6  3 Cu 2.79, 6 Ta 2.88, 1 Pu 2.97
Cu  0.0000  0.0000  0.5000 x3  6 Ta 2.79, 6 Cu 2.88

=====

MgCu2O4: optimized geometry, PBE-GGA.

Results
Total magnetic moment in μB/f.u.: 0.00
E above lowest polymorph in eV per formula unit: 0.02
Formation energy without anion corrections in eV/atom: -1.0952

a b c (Å): 3.1007 10.0254 9.1591
angles (deg): 90.00 90.00 90.00
Closest atoms and distances in Å follow each position.
Space group Pbcm (No. 57)
One atom of each set of equivalent atoms:
Mg  0.1139  0.1518  0.2500 x4  6 O 2.12-2.26
Cu  0.3564  0.6151  0.5701 x8  4 O 1.84-1.87
O  0.0112  0.7500  0.0000 x4  2 Cu 1.84
O  0.3756  0.5457  0.1176 x8  2 Cu 1.86-1.87
O  0.3812  0.7019  0.7500 x4  2 Cu 1.86

=====

Ho3Cu5H12: optimized geometry, PBE-GGA.

Results
Total magnetic moment in μB/f.u.: 0.00
Total energy in eV per atom: -3.94

a b c (Å): 11.5053 11.5053 11.5053
angles (deg): 90.00 90.00 90.00
Closest atoms and distances in Å follow each position.
Space group Ia-3d (No. 230)
One atom of each set of equivalent atoms:
Ho  0.0000  0.2500  0.1250 x24  8 H 2.21-2.30
Cu  0.0000  0.0000  0.0000 x16  6 H 1.88
Cu  0.0000  0.2500  0.3750 x24  4 H 1.70
H  0.0304  0.0539  0.6508 x96  2 Cu 1.70-1.88

=====

LaPmPt10: optimized geometry, PBE-GGA.

Results
Total magnetic moment in μB/f.u.: 0.00
ΔH_f (0 K) in eV/atom: -0.746

a b c (Å): 4.4387 5.4407 9.3898
angles (deg): 90.00 90.00 90.00
Closest atoms and distances in Å follow each position.
Space group Pmmm (No. 47)
One atom of each set of equivalent atoms:
La  0.0000  0.0000  0.0000 x1  18 Pt 3.14-3.52
Pm  0.0000  0.5000  0.5000 x1  6 Pt 3.11-3.13
Pt  0.0000  0.0000  0.3346 x2  6 Pt 2.71-2.72
Pt  0.0000  0.5000  0.1688 x2  6 Pt 2.71-2.73
Pt  0.5000  0.0000  0.5000 x1  8 Pt 2.70-2.71
Pt  0.5000  0.2510  0.2518 x4  8 Pt 2.70-2.73
Pt  0.5000  0.5000  0.0000 x1  8 Pt 2.73

=====

Fe5B2P: optimized geometry, PBE-GGA.

Results
Total magnetic moment in μB/f.u.: 8.44
ΔH_f (0 K) in eV/atom: -0.385

a b c (Å): 5.4401 5.4401 10.2922
angles (deg): 90.00 90.00 90.00
Closest atoms and distances in Å follow each position.
Space group I4/mcm (No. 140)
One atom of each set of equivalent atoms:
Fe  0.0000  0.0000  0.0000 x4  4 B 2.17
Fe  0.1710  0.3290  0.1388 x16  3 B 2.15-2.16, 2 P 2.32
B  0.1188  0.3812  0.5000 x8  1 B 1.83
P  0.0000  0.0000  0.2500 x4  10 Fe 2.32-2.57

=====

BaBeAg2Hg: optimized geometry, PBE-GGA.

Results
Total magnetic moment in μB/f.u.: 0.00
ΔH_f (0 K) in eV/atom: -0.070

a b c (Å): 4.9433 4.9433 4.8663
angles (deg): 90.00 90.00 90.00
Closest atoms and distances in Å follow each position.
Space group P4/mmm (No. 123)
One atom of each set of equivalent atoms:
Ba  0.0000  0.0000  0.0000 x1  8 Ag 3.47, 4 Hg 3.50
Be  0.5000  0.5000  0.5000 x1  2 Hg 2.43, 4 Ag 2.47
Ag  0.0000  0.5000  0.5000 x2  2 Be 2.47
Hg  0.5000  0.5000  0.0000 x1  2 Be 2.43

=====

SbOs2: optimized geometry, PBE-GGA.

Results
Total magnetic moment in μB/f.u.: 0.00
Formation energy without anion corrections in eV/atom: 0.2776

a b c (Å): 2.8569 19.5014 4.3290
angles (deg): 90.00 90.00 90.00
Closest atoms and distances in Å follow each position.
Space group Cmcm (No. 63)
One atom of each set of equivalent atoms:
Sb  0.0000  0.1691  0.2500 x4  4 Os 2.79-2.94, 2 Sb 2.86
Os  0.0000  0.0788  0.7500 x4  8 Os 2.68-2.86, 2 Sb 2.79
Os  0.0000  0.4623  0.7500 x4  10 Os 2.62-2.86

=====

CeEr2MgHg4: optimized geometry, PBE-GGA.

Results
Total magnetic moment in μB/f.u.: 1.24
ΔH_f (0 K) in eV/atom: -0.386

a b c (Å): 5.1133 5.1133 26.6339
angles (deg): 90.00 90.00 120.00
Closest atoms and distances in Å follow each position.
Space group R-3m (No. 166, hexagonal axes)
One atom of each set of equivalent atoms:
Ce  0.0000  0.0000  0.0000 x3  8 Hg 3.21-3.37
Er  0.0000  0.0000  0.2434 x6  7 Hg 3.11-3.16
Mg  0.0000  0.0000  0.5000 x3  8 Hg 3.14-3.17
Hg  0.0000  0.0000  0.1266 x6  4 Er 3.11, 3 Mg 3.14, 1 Ce 3.37
Hg  0.0000  0.0000  0.3811 x6  3 Er 3.16, 1 Mg 3.17, 3 Ce 3.21

=====

In2AgPt: optimized geometry, PBE-GGA.

Results
Total magnetic moment in μB/f.u.: 0.00
ΔH_f (0 K) in eV/atom: -0.207
E above lowest polymorph in eV per formula unit: 0.00

a b c (Å): 12.7251 3.0646 4.5576
angles (deg): 90.00 109.90 90.00
Closest atoms and distances in Å follow each position.
Space group Cm (No. 8)
One atom of each set of equivalent atoms:
In  0.0000  0.0000  0.0000 x2  4 Pt 2.76-2.77, 2 In 3.06
In  0.2263  0.0000  0.7227 x2  2 Pt 2.82, 4 Ag 2.95-2.96, 2 In 3.06
Ag  0.3174  0.5000  0.3108 x2  6 In 2.95-3.21, 2 Pt 2.95, 2 Ag 3.06
Pt  0.0282  0.5000  0.5277 x2  6 In 2.76-2.82, 2 Ag 2.95, 2 Pt 3.06

=====

Mg3MoRh: optimized geometry, PBE-GGA.

Results
Total magnetic moment in μB/f.u.: 4.12
ΔH_f (0 K) in eV/atom: 0.661
E above lowest polymorph in eV per formula unit: 0.00

a b c (Å): 4.8542 4.8542 4.8542
angles (deg): 90.00 90.00 90.00
Closest atoms and distances in Å follow each position.
Space group Pm-3m (No. 221)
One atom of each set of equivalent atoms:
Mg  0.0000  0.0000  0.5000 x3  2 Rh 2.43
Mo  0.5000  0.5000  0.5000 x1  12 Mg 3.43
Rh  0.0000  0.0000  0.0000 x1  6 Mg 2.43

=====

KSrBP2O8: optimized geometry, PBE-GGA.

Results
Total magnetic moment in μB/f.u.: 0.00
Formation energy without anion corrections in eV/atom: -2.5356

a b c (Å): 10.1145 10.1421 8.5630
angles (deg): 90.00 123.01 90.00
Closest atoms and distances in Å follow each position.
Space group Cc (No. 9)
One atom of each set of equivalent atoms:
K  0.0000  0.0808  0.0000 x4  8 O 2.81-3.13
Sr  0.0896  0.3077  0.4766 x4  5 O 2.47-2.67
B  0.4145  0.1483  0.2214 x4  4 O 1.46-1.48
P  0.2425  0.3459  0.9672 x4  4 O 1.51-1.59
P  0.3469  0.0728  0.4892 x4  4 O 1.52-1.59
O  0.0707  0.2871  0.8268 x4  1 B 1.48, 1 P 1.59
O  0.1709  0.0846  0.4087 x4  1 P 1.52
O  0.2380  0.4887  0.0157 x4  1 P 1.51
O  0.2993  0.2569  0.1461 x4  1 B 1.47, 1 P 1.59
O  0.3392  0.3209  0.8822 x4  1 P 1.53
O  0.3793  0.0595  0.3282 x4  1 B 1.46, 1 P 1.59
O  0.4132  0.0692  0.0758 x4  1 B 1.48, 1 P 1.59
O  0.4427  0.1829  0.6253 x4  1 P 1.52

=====

TmBiPd4: optimized geometry, PBE-GGA.

Results
Total magnetic moment in μB/f.u.: 0.00
ΔH_f (0 K) in eV/atom: -0.525
E above lowest polymorph in eV per formula unit: 0.41

a b c (Å): 7.6774 7.6774 7.6774
angles (deg): 90.00 90.00 90.00
Closest atoms and distances in Å follow each position.
Space group F-43m (No. 216)
One atom of each set of equivalent atoms:
Tm  0.0000  0.0000  0.0000 x4  12 Pd 3.18, 4 Bi 3.32
Bi  0.2500  0.2500  0.2500 x4  12 Pd 3.18, 4 Tm 3.32
Pd  0.1256  0.1256  0.6256 x16  6 Pd 2.70-2.73

=====

Ti2CuRuPb: optimized geometry, PBE-GGA.

Results
Total magnetic moment in μB/f.u.: 0.00
ΔH_f (0 K) in eV/atom: 0.956

a b c (Å): 4.5742 4.5742 4.7146
angles (deg): 90.00 90.00 90.00
Closest atoms and distances in Å follow each position.
Space group P4/mmm (No. 123)
One atom of each set of equivalent atoms:
Ti  0.0000  0.5000  0.0000 x2  2 Cu 2.29
Cu  0.0000  0.0000  0.0000 x1  4 Ti 2.29, 2 Pb 2.36
Ru  0.5000  0.5000  0.5000 x1  4 Pb 3.23, 8 Ti 3.28
Pb  0.0000  0.0000  0.5000 x1  2 Cu 2.36

=====

SrNi2Rh: optimized geometry, PBE-GGA.

Results
Total magnetic moment in μB/f.u.: 0.92
ΔH_f (0 K) in eV/atom: 0.431
E above lowest polymorph in eV per formula unit: 2.16

a b c (Å): 6.4432 6.4432 6.4432
angles (deg): 90.00 90.00 90.00
Closest atoms and distances in Å follow each position.
Space group F-43m (No. 216)
One atom of each set of equivalent atoms:
Sr  0.0000  0.0000  0.0000 x4  4 Rh 2.79, 4 Ni 2.79
Ni  0.0000  0.0000  0.5000 x4  4 Ni 2.79, 4 Rh 2.79
Ni  0.2500  0.2500  0.7500 x4  4 Ni 2.79, 4 Sr 2.79
Rh  0.2500  0.2500  0.2500 x4  4 Ni 2.79, 4 Sr 2.79

=====

V, record by record: 377, 265, 77, 71, 80, 75, 71, 190, 227, 76, 119, 60, 201, 84, 114, 184, 113, 99, 67 Å³/f.u.